Material: YPbAuSe3
Method: DFT, GGA-PBE
State: optimized geometry

a b c (Å): 7.2518 7.2518 10.6238
angles (deg): 90.00 90.00 147.38
Closest atoms and distances in Å follow each position.
Element x y z (fractional)
Y 0.0000 0.0000 0.0000  6 Se 2.92-2.94
Y 0.0000 0.0000 0.5000  6 Se 2.92-2.94
Pb 0.2347 0.7653 0.7500  6 Se 3.17-3.20, 2 Au 3.43
Pb 0.7653 0.2347 0.2500  6 Se 3.17-3.20, 2 Au 3.43
Au 0.4632 0.5368 0.2500  4 Se 2.61-2.70
Au 0.5368 0.4632 0.7500  4 Se 2.61-2.70
Se 0.0905 0.9095 0.2500  2 Au 2.70, 2 Y 2.94
Se 0.3548 0.6452 0.0494  1 Au 2.61, 2 Y 2.92
Se 0.3548 0.6452 0.4506  1 Au 2.61, 2 Y 2.92
Se 0.6452 0.3548 0.5494  1 Au 2.61, 2 Y 2.92
Se 0.6452 0.3548 0.9506  1 Au 2.61, 2 Y 2.92
Se 0.9095 0.0905 0.7500  2 Au 2.70, 2 Y 2.94

Properties
V = 150.58 Å³/f.u.
Calculated total energy = -4.91 eV per atom
Excess energy over the best structure of this formula in the dataset = 33 meV per atom